## TcSe2F (PBE-GGA)

Data for crystalline TcSe2F at its relaxed geometry.

Structure (CIF):
```
data_TcSe2F
_chemical_formula_sum 'Tc4 Se8 F4'
_cell_length_a 5.994
_cell_length_b 5.994
_cell_length_c 10.073
_cell_angle_alpha 90.00
_cell_angle_beta 90.00
_cell_angle_gamma 90.00
_space_group_name_H-M_alt 'I -4 2 d'
_space_group_IT_number 122
_space_group_name_Hall 'I -4 2bw'
loop_
_atom_site_label
_atom_site_fract_x
_atom_site_fract_y
_atom_site_fract_z
_atom_site_occupancy
Tc1 0.000 0.000 0.000 1
Se1 0.216 0.250 0.125 1
F1 0.000 0.000 0.500 1
```

The value obtained for the relative energy among the computed polymorphs is 37 kJ/mol of formula units. The raw formation energy comes out at -0.322 eV/atom. Its crystal system is tetragonal. Its total moment is 0.0 Bohr magnetons per cell.